Density functional theory data (PBE+U) for a relaxed structure of LiCrPO4.

POSCAR file:
```
LiCrPO4
1.0
5.765 0.000 0.000
1.398 6.092 0.000
1.235 2.081 8.945
Li Cr P O
4 4 4 16
Direct
0.096 0.477 0.246
0.385 0.625 0.621
0.615 0.375 0.379
0.904 0.523 0.754
0.187 0.853 0.897
0.327 0.949 0.292
0.673 0.051 0.708
0.813 0.147 0.103
0.189 0.185 0.576
0.305 0.313 0.947
0.695 0.687 0.053
0.811 0.815 0.424
0.059 0.749 0.341
0.113 0.169 0.945
0.150 0.169 0.416
0.208 0.549 0.846
0.326 0.952 0.669
0.328 0.320 0.109
0.354 0.352 0.563
0.450 0.791 0.121
0.550 0.209 0.879
0.646 0.648 0.437
0.672 0.680 0.891
0.674 0.048 0.331
0.792 0.451 0.154
0.850 0.831 0.584
0.887 0.831 0.055
0.941 0.251 0.659
```

Output
Its total magnetic moment is 16.0 μB/cell. For the polymorph energy (0 for the lowest one), the calculation gives 26 meV/atom. The calculation puts the density of states at the Fermi level at 0.0 states/eV/f.u. Its symmetry is No. 2.